ScTe2Pt: relaxed, GGA-PBE.

abc: 4.054 6.375 5.761
angles: 39.33 90.00 90.00
Sites, in units of the cell vectors:
Te (0.500, 0.500, 0.000)
Te (0.000, 0.000, 0.000)
Sc (0.000, 0.000, 0.500)
Pt (0.500, 0.500, 0.500)

Values from the calculation:
Calculated density (Mg/m³): 8.72
Space group: P2/m (10)
Raw formation energy (eV/atom): -0.650

***

RuPb2Cl: relaxed, GGA-PBE.

abc: 5.475 7.543 3.215
angles: 83.37 77.64 130.91
Each line ends with the local moment (μB).
Sites, in units of the cell vectors:
Pb (0.000, 0.500, 0.500)  -0.01
Cl (0.500, 0.000, 0.500)  0.00
Pb (0.000, 0.000, 0.000)  -0.01
Ru (0.500, 0.500, 0.000)  0.53

Values from the calculation:
Calculated density (Mg/m³): 9.95
Space group: C2/m (12)
Raw formation energy (eV/atom): 0.131
Energy relative to the lowest polymorph listed for this composition (meV per atom): 116

***

K3TmP2O8: relaxed, GGA-PBE.

abc: 5.656 5.656 7.771
angles: 90.00 90.00 120.00
Sites, in units of the cell vectors:
P (0.667, 0.333, 0.738)
O (0.816, 0.633, 0.666)
Tm (0.000, 0.000, 0.500)
O (0.816, 0.184, 0.666)
O (0.367, 0.184, 0.666)
O (0.633, 0.816, 0.334)
K (0.333, 0.667, 0.734)
P (0.333, 0.667, 0.262)
O (0.667, 0.333, 0.933)
K (0.667, 0.333, 0.266)
O (0.333, 0.667, 0.067)
O (0.184, 0.367, 0.334)
K (0.000, 0.000, 0.000)
O (0.184, 0.816, 0.334)

Values from the calculation:
Calculated density (Mg/m³): 3.67
Space group: P-3m1 (164)
Raw formation energy (eV/atom): -2.598
Energy relative to the lowest polymorph listed for this composition (meV per atom): 6

***

Na3La2US6: relaxed, GGA-PBE.

abc: 4.148 8.240 9.219
angles: 102.02 103.00 90.00
Each line ends with the local moment (μB).
Sites, in units of the cell vectors:
Na (0.167, 0.832, 0.334)  0.00
Na (0.833, 0.168, 0.666)  0.00
S (0.659, 0.084, 0.318)  -0.02
S (0.331, 0.423, 0.662)  0.00
La (0.835, 0.669, 0.669)  0.06
S (0.341, 0.916, 0.682)  -0.02
Na (0.500, 0.500, 0.000)  0.00
U (0.500, 0.000, 0.000)  2.59
S (0.669, 0.577, 0.338)  0.00
S (0.001, 0.229, 0.002)  -0.04
La (0.165, 0.331, 0.331)  0.06
S (0.999, 0.771, 0.998)  -0.04

Values from the calculation:
Calculated density (Mg/m³): 4.30
Space group: C2/m (12)
Raw formation energy (eV/atom): -1.666

***

Copy entry 3 word for word.
K3TmP2O8: relaxed, GGA-PBE.

abc: 5.656 5.656 7.771
angles: 90.00 90.00 120.00
Sites, in units of the cell vectors:
P (0.667, 0.333, 0.738)
O (0.816, 0.633, 0.666)
Tm (0.000, 0.000, 0.500)
O (0.816, 0.184, 0.666)
O (0.367, 0.184, 0.666)
O (0.633, 0.816, 0.334)
K (0.333, 0.667, 0.734)
P (0.333, 0.667, 0.262)
O (0.667, 0.333, 0.933)
K (0.667, 0.333, 0.266)
O (0.333, 0.667, 0.067)
O (0.184, 0.367, 0.334)
K (0.000, 0.000, 0.000)
O (0.184, 0.816, 0.334)

Values from the calculation:
Calculated density (Mg/m³): 3.67
Space group: P-3m1 (164)
Raw formation energy (eV/atom): -2.598
Energy relative to the lowest polymorph listed for this composition (meV per atom): 6

***

The highest raw formation energy belongs to which entry? RuPb2Cl

***

Look up the calculated density of the first one. 8.72 Mg/m³

***

Among the records above, which one has the highest raw formation energy? RuPb2Cl